DFT (PBE) results for Rb2NaTeH after structural relaxation.

a = 6.461 Å, b = 4.190 Å, c = 6.461 Å
α = 90.00°, β = 90.00°, γ = 90.00°
Fractional positions:
1 Na 0.000 0.000 0.000
2 Rb 0.000 0.000 0.500
3 Rb 0.500 0.000 0.000
4 Te 0.500 0.500 0.500
5 H 0.000 0.500 0.000

As for the total magnetization: 0.0000 μB/atom. Its space-group type is No. 123. For the density of states at the Fermi level, the calculation gives 0.192 states/eV/atom. The uncorrected energy is -2.224 eV per atom.